(1)
This record from Alexandria describes a geometry-optimized CrPCl2 structure. The functional is PBE.

a = 3.245 Å, b = 4.720 Å, c = 13.376 Å
α = 90.00°, β = 90.00°, γ = 90.00°
Sites, in units of the cell vectors:
Cr  0.000  0.000  0.000
Cr  0.500  0.500  0.500
P  0.000  0.500  0.637
P  0.500  0.000  0.137
Cl  0.000  0.000  0.588
Cl  0.000  0.500  0.372
Cl  0.500  0.000  0.872
Cl  0.500  0.500  0.088

Summary:
The calculation puts the spin magnetization at 3.55 μB/f.u. The value obtained for the formation energy from raw total energies is -0.171 eV/atom. The energy above the most stable polymorph in this dataset is 227 meV/atom. Its density is 2.495 Mg/m³.


(2)
This record from Alexandria describes a geometry-optimized CrPCl2 structure. The functional is PBE.

a = 5.985 Å, b = 8.021 Å, c = 4.378 Å
α = 90.00°, β = 132.50°, γ = 90.00°
Sites, in units of the cell vectors:
Cr  0.000  0.000  0.000
Cr  0.500  0.500  0.000
P  0.000  0.500  0.000
P  0.500  0.000  0.000
Cl  0.250  0.250  0.500
Cl  0.250  0.750  0.500
Cl  0.750  0.250  0.500
Cl  0.750  0.750  0.500

Summary:
The calculation puts the spin magnetization at 3.92 μB/f.u. The value obtained for the formation energy from raw total energies is 0.160 eV/atom. The energy above the most stable polymorph in this dataset is 557 meV/atom. Its density is 3.299 Mg/m³.


(3)
This record from Alexandria describes a geometry-optimized CrPCl structure. The functional is PBE.

a = 3.461 Å, b = 4.043 Å, c = 9.452 Å
α = 90.00°, β = 90.00°, γ = 90.00°
Sites, in units of the cell vectors:
Cr  0.250  0.250  0.157
Cr  0.750  0.750  0.843
P  0.250  0.750  0.017
P  0.750  0.250  0.983
Cl  0.250  0.750  0.670
Cl  0.750  0.250  0.330

Summary:
The calculation puts the spin magnetization at 2.76 μB/f.u. The value obtained for the formation energy from raw total energies is -0.490 eV/atom. The energy above the most stable polymorph in this dataset is 0 meV/atom. Its density is 2.974 Mg/m³.


(4)
This record from Alexandria describes a geometry-optimized Cr2PCl structure. The functional is PBE.

a = 3.284 Å, b = 3.803 Å, c = 5.976 Å
α = 90.00°, β = 90.00°, γ = 90.00°
Sites, in units of the cell vectors:
Cr  0.000  0.000  0.000
Cr  0.500  0.500  0.038
P  0.000  0.500  0.764
Cl  0.500  0.000  0.286

Summary:
The calculation puts the spin magnetization at 0.42 μB/f.u. The value obtained for the formation energy from raw total energies is -0.048 eV/atom. The energy above the most stable polymorph in this dataset is 261 meV/atom. Its density is 3.791 Mg/m³.


(5)
This record from Alexandria describes a geometry-optimized CrP2Cl structure. The functional is PBE.

a = 3.261 Å, b = 7.061 Å, c = 8.630 Å
α = 90.00°, β = 90.00°, γ = 90.00°
Sites, in units of the cell vectors:
Cr  0.000  0.000  0.000
Cr  0.500  0.500  0.000
P  0.000  0.000  0.375
P  0.000  0.500  0.215
P  0.500  0.000  0.215
P  0.500  0.500  0.375
Cl  0.000  0.500  0.805
Cl  0.500  0.000  0.805

Summary:
The calculation puts the spin magnetization at 3.74 μB/f.u. The value obtained for the formation energy from raw total energies is 0.049 eV/atom. The energy above the most stable polymorph in this dataset is 328 meV/atom. Its density is 2.497 Mg/m³.


(6)
This record from Alexandria describes a geometry-optimized Cr3PCl structure. The functional is PBE.

a = 4.145 Å, b = 4.145 Å, c = 4.145 Å
α = 90.00°, β = 90.00°, γ = 90.00°
Sites, in units of the cell vectors:
Cr  0.000  0.000  0.500
Cr  0.000  0.500  0.000
Cr  0.500  0.000  0.000
P  0.500  0.500  0.500
Cl  0.000  0.000  0.000

Summary:
The calculation puts the spin magnetization at 3.29 μB/f.u. The value obtained for the formation energy from raw total energies is 0.969 eV/atom. The energy above the most stable polymorph in this dataset is 0 meV/atom. Its density is 5.186 Mg/m³.


(7)
This record from Alexandria describes a geometry-optimized CrPCl2 structure. The functional is PBE.

a = 6.315 Å, b = 6.315 Å, c = 9.069 Å
α = 90.00°, β = 90.00°, γ = 90.00°
Sites, in units of the cell vectors:
Cr  0.000  0.000  0.000
Cr  0.000  0.500  0.250
Cr  0.500  0.000  0.750
Cr  0.500  0.500  0.500
P  0.000  0.000  0.500
P  0.000  0.500  0.750
P  0.500  0.000  0.250
P  0.500  0.500  0.000
Cl  0.155  0.250  0.125
Cl  0.250  0.655  0.375
Cl  0.250  0.845  0.875
Cl  0.345  0.250  0.625
Cl  0.655  0.750  0.625
Cl  0.750  0.155  0.875
Cl  0.750  0.345  0.375
Cl  0.845  0.750  0.125

Summary:
The calculation puts the spin magnetization at 0.01 μB/f.u. The value obtained for the formation energy from raw total energies is 0.757 eV/atom. The energy above the most stable polymorph in this dataset is 1154 meV/atom. Its density is 2.826 Mg/m³.


(8)
This record from Alexandria describes a geometry-optimized CrPCl structure. The functional is PBE.

a = 3.500 Å, b = 3.500 Å, c = 6.022 Å
α = 90.00°, β = 90.00°, γ = 120.00°
Sites, in units of the cell vectors:
Cr  0.000  0.000  0.000
P  0.667  0.333  0.173
Cl  0.333  0.667  0.738

Summary:
The calculation puts the spin magnetization at 2.00 μB/f.u. The value obtained for the formation energy from raw total energies is -0.328 eV/atom. The energy above the most stable polymorph in this dataset is 162 meV/atom. Its density is 3.077 Mg/m³.


(9)
This record from Alexandria describes a geometry-optimized CrPCl2 structure. The functional is PBE.

a = 6.257 Å, b = 6.257 Å, c = 6.257 Å
α = 90.00°, β = 90.00°, γ = 90.00°
Sites, in units of the cell vectors:
Cr  0.000  0.000  0.000
Cr  0.000  0.500  0.500
Cr  0.500  0.000  0.500
Cr  0.500  0.500  0.000
P  0.000  0.000  0.500
P  0.000  0.500  0.000
P  0.500  0.000  0.000
P  0.500  0.500  0.500
Cl  0.250  0.250  0.250
Cl  0.250  0.250  0.750
Cl  0.250  0.750  0.250
Cl  0.250  0.750  0.750
Cl  0.750  0.250  0.250
Cl  0.750  0.250  0.750
Cl  0.750  0.750  0.250
Cl  0.750  0.750  0.750

Summary:
The calculation puts the spin magnetization at 0.00 μB/f.u. The value obtained for the formation energy from raw total energies is 0.899 eV/atom. The energy above the most stable polymorph in this dataset is 1296 meV/atom. Its density is 4.172 Mg/m³.


(10)
This record from Alexandria describes a geometry-optimized CrPPbCl2 structure. The functional is PBE.

a = 4.724 Å, b = 4.724 Å, c = 5.017 Å
α = 90.00°, β = 90.00°, γ = 90.00°
Sites, in units of the cell vectors:
Cr  0.000  0.000  0.000
P  0.000  0.000  0.500
Pb  0.500  0.500  0.500
Cl  0.000  0.500  0.000
Cl  0.500  0.000  0.000

Summary:
The calculation puts the spin magnetization at 3.03 μB/f.u. The value obtained for the formation energy from raw total energies is -0.298 eV/atom. The energy above the most stable polymorph in this dataset is 0 meV/atom. Its density is 5.356 Mg/m³.


(11)
This record from Alexandria describes a geometry-optimized CrP2PbCl structure. The functional is PBE.

a = 4.445 Å, b = 4.445 Å, c = 5.235 Å
α = 90.00°, β = 90.00°, γ = 90.00°
Sites, in units of the cell vectors:
Cr  0.000  0.000  0.000
P  0.000  0.500  0.000
P  0.500  0.000  0.000
Pb  0.500  0.500  0.500
Cl  0.000  0.000  0.500

Summary:
The calculation puts the spin magnetization at 0.35 μB/f.u. The value obtained for the formation energy from raw total energies is 0.073 eV/atom. The energy above the most stable polymorph in this dataset is 0 meV/atom. Its density is 5.724 Mg/m³.


(12)
This record from Alexandria describes a geometry-optimized CrPPb2Cl structure. The functional is PBE.

a = 5.775 Å, b = 5.775 Å, c = 4.482 Å
α = 90.00°, β = 90.00°, γ = 90.00°
Sites, in units of the cell vectors:
Cr  0.000  0.000  0.000
P  0.000  0.000  0.500
Pb  0.000  0.500  0.500
Pb  0.500  0.000  0.500
Cl  0.500  0.500  0.000

Summary:
The calculation puts the spin magnetization at 4.10 μB/f.u. The value obtained for the formation energy from raw total energies is 0.182 eV/atom. Its density is 5.919 Mg/m³.